Density functional theory data (PBE) for a relaxed structure of CeDyY2.

Cell: 3.539 3.539 10.092 Å, 90.00 90.00 90.00°
Each line ends with the local moment (μB).
Positions (direct):
Y1 0.000 0.000 0.747  0.01
Ce1 0.500 0.500 0.500  0.64
Y2 0.000 0.000 0.253  0.01
Dy1 0.500 0.500 0.000  -0.04

Output
Crystal system = tetragonal
ΔE to the lowest computed polymorph = 9.3 kJ/mol of formula units
Symmetry = P4/mmm, No. 123

=====

Density functional theory data (PBE) for a relaxed structure of CeDy6Y5.

Cell: 5.031 10.060 9.411 Å, 122.31 105.51 90.00°
Each line ends with the local moment (μB).
Positions (direct):
Y1 0.666 0.166 0.333  0.02
Ce1 0.000 0.000 0.000  0.79
Dy1 0.835 0.084 0.670  0.01
Dy2 0.500 0.247 0.000  0.06
Dy3 0.165 0.414 0.330  0.01
Y2 0.333 0.333 0.666  -0.03
Dy4 0.500 0.753 0.000  0.06
Y3 0.667 0.667 0.334  -0.03
Dy5 0.165 0.916 0.330  0.01
Dy6 0.835 0.586 0.670  0.01
Y4 0.000 0.500 0.000  0.00
Y5 0.334 0.834 0.667  0.02

Output
Crystal system = orthorhombic
Symmetry = Immm, No. 71
E_tot = -65.39 eV for the cell shown

=====

Density functional theory data (PBE) for a relaxed structure of Ce2Dy5Y6.

Cell: 3.572 11.647 20.297 Å, 90.00 90.00 90.00°
Each line ends with the local moment (μB).
Positions (direct):
Y1 0.000 0.560 0.422  -0.01
Y2 0.000 0.081 0.365  -0.01
Ce1 0.000 0.671 0.716  0.71
Dy1 0.500 0.588 0.277  0.03
Dy2 0.500 0.700 0.554  0.00
Y3 0.000 0.440 0.578  -0.01
Y4 0.500 0.322 0.131  0.03
Dy3 0.500 0.000 0.500  -0.03
Dy4 0.500 0.912 0.777  0.03
Y5 0.500 0.178 0.631  0.03
Ce2 0.000 0.171 0.784  0.71
Y6 0.500 0.678 0.869  0.03
Ce3 0.000 0.829 0.216  0.71
Y7 0.000 0.060 0.078  -0.01
Y8 0.500 0.822 0.369  0.03
Dy5 0.500 0.088 0.223  0.03
Y9 0.000 0.581 0.135  -0.01
Dy6 0.500 0.200 0.946  0.00
Dy7 0.500 0.800 0.054  0.00
Dy8 0.500 0.500 0.000  -0.03
Y10 0.000 0.419 0.865  -0.01
Ce4 0.000 0.329 0.284  0.71
Y11 0.000 0.940 0.922  -0.01
Dy9 0.500 0.412 0.723  0.03
Dy10 0.500 0.300 0.446  0.00
Y12 0.000 0.919 0.635  -0.01

Output
Crystal system = orthorhombic
Symmetry = Pbam, No. 55
E_tot = -143.71 eV for the cell shown

=====

Density functional theory data (PBE) for a relaxed structure of CeDyY2.

Cell: 3.563 3.563 11.638 Å, 81.19 81.19 60.00°
Each line ends with the local moment (μB).
Positions (direct):
Ce1 0.666 0.666 0.001  0.56
Y1 0.251 0.251 0.248  -0.02
Y2 0.083 0.083 0.752  -0.02
Dy1 0.501 0.501 0.498  -0.11

Output
Crystal system = trigonal
ΔE to the lowest computed polymorph = 0.0 kJ/mol of formula units
Symmetry = R3m, No. 160